Compound: SiAsPRh2C
Source: Alexandria via LeMat-Bulk
Functional: PBE
Structure: relaxed

CIF file:
```
data_SiAsPRh2C
_space_group_name_H-M_alt 'P 1'
_space_group_IT_number 1
_space_group_name_Hall 'P 1'
_cell_length_a 4.288
_cell_length_b 4.548
_cell_length_c 4.864
_cell_angle_alpha 83.45
_cell_angle_beta 86.34
_cell_angle_gamma 87.14
loop_
_atom_site_label
_atom_site_fract_x
_atom_site_fract_y
_atom_site_fract_z
Si1 0.000 0.000 0.000
As1 0.895 0.332 0.339
P1 0.409 0.619 0.772
Rh1 0.350 0.670 0.261
Rh2 0.360 0.159 0.631
C1 0.634 0.862 0.910
```

ρ = 6.2 g/cm3
electronic total energy = -6.5131 eV/atom
density of states at the Fermi level = 1.872 states/eV/f.u.
ΔE_f (raw) = 0.055 eV/atom